DFT (PBE) results for a relaxed structure of H2PtCl.

a = 5.0881 Å, b = 2.7803 Å, c = 7.4345 Å
α = 90.00°, β = 101.90°, γ = 90.00°
With the nearest neighbours (Å) after each atom.
Space group C2 (No. 5)
Symmetry-distinct sites (fractional):
H 0.1355 0.0000 0.3775 x4  3 Pt 1.87-1.89
Pt 0.0000 0.5000 0.5000 x2  6 H 1.87-1.89
Cl 0.0000 0.9862 0.0000 x2  2 H 2.75, 6 Cl 2.78-2.90

Values from the calculation:
* raw total energy: -3.46 eV/atom
* crystal system: monoclinic


DFT (PBE) results for a relaxed structure of SrBePb2.

a = 9.2929 Å, b = 4.2579 Å, c = 6.4101 Å
α = 90.00°, β = 113.70°, γ = 90.00°
With the nearest neighbours (Å) after each atom.
Space group Cm (No. 8)
Symmetry-distinct sites (fractional):
Sr 0.0000 0.0000 0.0000 x2  3 Be 3.42-3.57, 6 Pb 3.43-3.52
Be 0.2330 0.5000 0.4150 x2  5 Pb 2.71-2.93
Pb 0.2010 0.0000 0.6540 x2  2 Be 2.71
Pb 0.4034 0.0000 0.3573 x2  3 Be 2.77-2.93

Values from the calculation:
* crystal system: monoclinic
* energy relative to the elements: 0.07 eV per atom


DFT (PBE) results for a relaxed structure of MgSnB3.

a = 4.3874 Å, b = 4.3874 Å, c = 4.3874 Å
α = 90.00°, β = 90.00°, γ = 90.00°
With the nearest neighbours (Å) after each atom.
Space group Pm-3m (No. 221)
Symmetry-distinct sites (fractional):
Mg 0.0000 0.0000 0.0000 x1  6 B 2.19
Sn 0.5000 0.5000 0.5000 x1  12 B 3.10
B 0.0000 0.0000 0.5000 x3  2 Mg 2.19

Values from the calculation:
* crystal system: cubic
* energy relative to the elements: 2.03 eV per atom


DFT (PBE) results for a relaxed structure of PuGaIr4.

a = 7.4625 Å, b = 7.4625 Å, c = 7.4625 Å
α = 90.00°, β = 90.00°, γ = 90.00°
With the nearest neighbours (Å) after each atom.
Space group F-43m (No. 216)
Symmetry-distinct sites (fractional):
Pu 0.0000 0.0000 0.0000 x4  12 Ir 3.10, 4 Ga 3.23
Ga 0.2500 0.2500 0.2500 x4  12 Ir 3.09, 4 Pu 3.23
Ir 0.1243 0.1243 0.6243 x16  6 Ir 2.62-2.65

Values from the calculation:
* crystal system: cubic
* energy relative to the elements: -0.27 eV per atom


DFT (PBE) results for a relaxed structure of Te2OsPtN.

a = 5.3816 Å, b = 5.3816 Å, c = 3.6085 Å
α = 90.00°, β = 90.00°, γ = 90.00°
With the nearest neighbours (Å) after each atom.
Space group P4/mmm (No. 123)
Symmetry-distinct sites (fractional):
Te 0.0000 0.5000 0.0000 x2  2 Pt 2.69
Os 0.0000 0.0000 0.5000 x1  8 Te 3.24, 2 Os 3.61
Pt 0.5000 0.5000 0.0000 x1  2 N 1.80
N 0.5000 0.5000 0.5000 x1  2 Pt 1.80

Values from the calculation:
* raw total energy: -5.15 eV/atom
* crystal system: tetragonal


DFT (PBE) results for a relaxed structure of Pm9Pr4Zn11.

a = 15.7078 Å, b = 21.7305 Å, c = 3.5794 Å
α = 90.00°, β = 90.00°, γ = 90.00°
With the nearest neighbours (Å) after each atom.
Space group Cmmm (No. 65)
Symmetry-distinct sites (fractional):
Pm 0.0000 0.0000 0.0000 x2  4 Pr 3.24, 4 Zn 3.38, 2 Pm 3.58
Pm 0.1126 0.4081 0.0000 x8  8 Zn 3.13-3.26, 1 Pr 3.47
Pm 0.1160 0.2360 0.0000 x8  8 Zn 3.11-3.41, 1 Pr 3.32
Pr 0.1668 0.0876 0.0000 x8  6 Zn 3.16-3.32, 3 Pm 3.24-3.47
Zn 0.0000 0.1318 0.5000 x4  4 Pr 3.32, 6 Pm 3.38-3.41, 2 Zn 3.58
Zn 0.0000 0.3224 0.5000 x4  8 Pm 3.13-3.17
Zn 0.0000 0.5000 0.5000 x2  8 Pm 3.21, 4 Zn 3.38-3.58
Zn 0.2151 0.5000 0.5000 x4  4 Pm 3.13, 4 Pr 3.20, 1 Zn 3.38
Zn 0.2321 0.3176 0.5000 x8  1 Zn 2.99, 6 Pm 3.11-3.26, 2 Pr 3.16

Values from the calculation:
* crystal system: orthorhombic
* energy relative to the elements: -0.23 eV per atom


DFT (PBE) results for a relaxed structure of CsGeSe2.

a = 12.3750 Å, b = 13.5554 Å, c = 15.4956 Å
α = 90.00°, β = 101.71°, γ = 90.00°
With the nearest neighbours (Å) after each atom.
Space group C2/c (No. 15)
Symmetry-distinct sites (fractional):
Cs 0.0116 0.1474 0.3959 x8  5 Se 3.67-4.10, 1 Ge 3.78
Cs 0.2144 0.4366 0.1197 x8  6 Se 3.65-3.99
Ge 0.0882 0.1809 0.6431 x8  3 Se 2.52-2.58
Ge 0.1469 0.3981 0.8324 x8  4 Se 2.36-2.44
Se 0.0000 0.0852 0.7500 x4  2 Ge 2.52
Se 0.0000 0.4981 0.2500 x4  2 Ge 2.44
Se 0.0727 0.2939 0.9302 x8  2 Ge 2.39-2.58
Se 0.2231 0.0180 0.6029 x8  1 Ge 2.36
Se 0.2310 0.2981 0.7335 x8  2 Ge 2.43-2.57

Values from the calculation:
* raw total energy: -3.80 eV/atom
* crystal system: monoclinic


DFT (PBE) results for a relaxed structure of Tb3Nd8Sm.

a = 7.1076 Å, b = 12.0980 Å, c = 9.8507 Å
α = 90.00°, β = 103.87°, γ = 90.00°
With the nearest neighbours (Å) after each atom.
Space group C2/m (No. 12)
Symmetry-distinct sites (fractional):
Tb 0.0000 0.0000 0.0000 x2  8 Nd 3.51-3.83, 2 Sm 3.55
Tb 0.2500 0.2500 0.5000 x4  8 Nd 3.52-3.80, 2 Tb 3.55
Nd 0.0699 0.2476 0.8336 x8  3 Tb 3.51-3.80, 6 Nd 3.55-3.65, 1 Sm 3.56
Nd 0.1784 0.0000 0.6631 x4  3 Tb 3.52-3.83, 6 Nd 3.54-3.64, 1 Sm 3.55
Nd 0.1778 0.5000 0.6679 x4  3 Tb 3.51-3.54, 6 Nd 3.54-3.65, 1 Sm 3.78
Sm 0.0000 0.5000 0.0000 x2  8 Nd 3.55-3.78, 2 Tb 3.55

Values from the calculation:
* crystal system: monoclinic
* energy relative to the elements: 0.11 eV per atom


DFT (PBE) results for a relaxed structure of ZrPb.

a = 3.2922 Å, b = 5.2695 Å, c = 5.8067 Å
α = 90.00°, β = 102.35°, γ = 90.00°
With the nearest neighbours (Å) after each atom.
Space group P2_1/m (No. 11)
Symmetry-distinct sites (fractional):
Zr 0.0037 0.2500 0.2510 x2  6 Pb 3.01-3.11, 2 Zr 3.29
Pb 0.4987 0.2500 0.7516 x2  6 Zr 3.01-3.11, 2 Pb 3.29

Values from the calculation:
* crystal system: monoclinic
* energy relative to the elements: -0.09 eV per atom


DFT (PBE) results for a relaxed structure of Tb2LuSc.

a = 3.5018 Å, b = 3.5018 Å, c = 9.5728 Å
α = 90.00°, β = 90.00°, γ = 90.00°
With the nearest neighbours (Å) after each atom.
Space group P4/mmm (No. 123)
Symmetry-distinct sites (fractional):
Tb 0.0000 0.0000 0.2417 x2  4 Sc 3.39, 4 Lu 3.50, 4 Tb 3.50
Lu 0.5000 0.5000 0.5000 x1  8 Tb 3.50, 4 Lu 3.50
Sc 0.5000 0.5000 0.0000 x1  8 Tb 3.39, 4 Sc 3.50

Values from the calculation:
* crystal system: tetragonal
* energy relative to the elements: 0.04 eV per atom


DFT (PBE) results for a relaxed structure of NdGaSnPt3.

a = 5.6735 Å, b = 16.9506 Å, c = 5.7235 Å
α = 90.00°, β = 90.00°, γ = 90.00°
With the nearest neighbours (Å) after each atom.
Space group Cmcm (No. 63)
Symmetry-distinct sites (fractional):
Nd 0.0000 0.1962 0.2500 x4  4 Pt 2.94-3.05, 2 Sn 3.28
Ga 0.0000 0.4061 0.7500 x4  5 Pt 2.49-2.55
Sn 0.0000 0.1021 0.7500 x4  5 Pt 2.66-2.67
Pt 0.0000 0.2589 0.7500 x4  1 Ga 2.49, 1 Sn 2.66
Pt 0.2456 0.5000 0.0000 x8  2 Ga 2.55, 2 Sn 2.67, 1 Pt 2.79

Values from the calculation:
* crystal system: orthorhombic
* energy relative to the elements: -0.67 eV per atom


DFT (PBE) results for a relaxed structure of MgBeTe2.

a = 4.3569 Å, b = 3.6503 Å, c = 6.8961 Å
α = 90.00°, β = 98.59°, γ = 90.00°
With the nearest neighbours (Å) after each atom.
Space group P2/m (No. 10)
Symmetry-distinct sites (fractional):
Mg 0.0000 0.0000 0.0000 x1  4 Te 2.92
Be 0.0000 0.0000 0.5000 x1  4 Te 2.55
Te 0.2477 0.5000 0.7310 x2  2 Be 2.55

Values from the calculation:
* raw total energy: -2.98 eV/atom
* crystal system: monoclinic